# 1
The following is a DFT calculation (PBE-GGA) of Pm3CuPt after structural relaxation.

The structure belongs to space group P2_1/m (No. 11); the cell edges are 8.364, 3.954 and 8.486 Å and the angles 90.00°, 112.17° and 90.00°. The asymmetric unit holds Pm at (0.036, 0.250, 0.179), Pm at (0.222, 0.750, 0.570), Pm at (0.399, 0.750, 0.130), Cu at (0.416, 0.250, 0.431) and Pt at (0.234, 0.250, 0.846).


# 2
The following is a DFT calculation (PBE-GGA) of Pm5CuPt4 after structural relaxation.

The structure belongs to space group P4/mmm (No. 123); the cell edges are 3.589, 3.589 and 17.901 Å and the angles 90.00°, 90.00° and 90.00°. The asymmetric unit holds Pm at (0.000, 0.000, 0.000), Pm at (0.000, 0.000, 0.200), Pm at (0.000, 0.000, 0.399), Cu at (0.500, 0.500, 0.500), Pt at (0.500, 0.500, 0.101) and Pt at (0.500, 0.500, 0.303).


# 3
The following is a DFT calculation (PBE-GGA) of Pm3Cu2Pt7 after structural relaxation.

The structure belongs to space group R-3m (No. 166, hexagonal axes); the cell edges are 5.4732, 5.4732 and 25.7918 Å and the angles 90.00°, 90.00° and 120.00°. The asymmetric unit holds Pm at (0.0000, 0.0000, 0.0000), Pm at (0.0000, 0.0000, 0.1392), Cu at (0.0000, 0.0000, 0.3335), Pt at (0.0000, 0.0000, 0.5000) and Pt at (0.0030, 0.5015, 0.9193).


# 4
The following is a DFT calculation (PBE-GGA) of Pm2Cu3Pt2 after structural relaxation.

The structure belongs to space group C2/m (No. 12); the cell edges are 9.936, 4.376 and 6.465 Å and the angles 90.00°, 110.89° and 90.00°. The asymmetric unit holds Pm at (0.151, 0.000, 0.253), Cu at (0.000, 0.500, 0.500), Cu at (0.105, 0.500, 0.925) and Pt at (0.137, 0.000, 0.709).


Number 1: DFT formation energy -0.5461 eV/atom, DOS at the Fermi energy 9.78 states/eV/cell. Number 2: DFT formation energy -0.9010 eV/atom, DOS at the Fermi energy 6.23 states/eV/cell. Number 3: DFT formation energy -0.8727 eV/atom, DOS at the Fermi energy 21.82 states/eV/cell. Number 4: DFT formation energy -0.6182 eV/atom, DOS at the Fermi energy 5.62 states/eV/cell.